Record 1
The following is a PBE-GGA calculation of crystalline Pr5NdMg at its relaxed geometry, from Alexandria.

```
14
Lattice="-4.6970 -2.1484 8.3802 -0.3216 -1.6887 -6.3950 4.5529 -11.1788 -0.3140" Properties=species:S:1:pos:R:3 pbc="T T T"
Pr -0.9328 -12.5613 4.1691
Pr 1.0129 -8.8357 0.4329
Pr 1.1420 -7.7916 -3.2265
Nd -1.1897 -3.8595 4.0748
Pr -2.6529 -2.8967 -0.3604
Pr -1.4786 -6.1803 1.2383
Pr 0.4897 -3.0914 1.0786
Mg 2.2764 -5.5894 -0.1570
Pr -1.6077 -7.2244 4.8978
Nd 1.0455 -9.4677 3.9914
Pr -0.6338 -10.2359 6.9876
Pr 0.4671 -2.4547 -2.4978
Pr 2.1872 -12.1193 2.0316
Mg 0.0000 0.0000 0.0000
```

* energy: -4.23 eV/atom
* energy relative to the elements: 0.0896 eV/atom
* total magnetization: 0.00 Bohr magnetons per cell
* space group: No. 15



Record 2
The following is a PBE-GGA calculation of crystalline NdGa3Pd at its relaxed geometry, from Alexandria.

```
5
Lattice="0.7381 1.5463 -3.9756 4.2547 -0.5563 0.5736 -2.8712 -5.3998 -0.2763" Properties=species:S:1:pos:R:3 pbc="T T T"
Pd 2.3871 -0.9354 -2.2777
Nd -0.0015 -0.0194 -0.0078
Ga 1.9293 -2.8698 -0.7580
Ga 0.1710 -1.8185 -3.0326
Ga -0.3104 -4.0619 -1.6375
```

* energy: -4.52 eV/atom
* energy relative to the elements: -0.7069 eV/atom
* total magnetization: 0.00 Bohr magnetons per cell
* space group: No. 107
* distance to the lowest polymorph of the same formula: 0.0 kJ/mol of formula units



Record 3
The following is a PBE-GGA calculation of crystalline SrGa2Tc2 at its relaxed geometry, from Alexandria.

```
5
Lattice="-3.2401 3.0011 -1.5893 -2.6692 -3.6086 -1.3725 -5.0211 -0.3467 2.6509" Properties=species:S:1:pos:R:3 pbc="T T T"
Tc -3.4575 -0.3142 -0.4754
Sr 0.0000 0.0000 0.0000
Ga -5.3225 -2.1295 -0.1013
Tc -7.4728 -0.6400 0.1645
Ga -5.6079 1.1753 -0.2097
```

* energy: -5.71 eV/atom
* energy relative to the elements: -0.0138 eV/atom
* total magnetization: 0.00 Bohr magnetons per cell
* space group: No. 139
* distance to the lowest polymorph of the same formula: 0.0 kJ/mol of formula units



Record 4
The following is a PBE-GGA calculation of crystalline CrNi at its relaxed geometry, from Alexandria.

```
8
Lattice="4.0285 0.0000 0.0000 0.0000 4.2744 0.0000 0.0000 0.0000 5.1814" Properties=species:S:1:pos:R:3 pbc="T T T"
Ni 1.0071 2.4256 4.5365
Ni 3.0214 1.8488 0.6450
Cr 3.0214 1.8177 3.2350
Cr 1.0071 2.4567 1.9464
Ni 3.0214 3.9860 1.9457
Cr 1.0071 0.3195 0.6443
Ni 1.0071 0.2884 3.2357
Cr 3.0214 3.9549 4.5371
```

* energy: -7.62 eV/atom
* energy relative to the elements: 0.0838 eV/atom
* total magnetization: 0.00 Bohr magnetons per cell
* space group: No. 62